Compound: AcCdHg6
Source: Alexandria via LeMat-Bulk
Functional: GGA-PBE
Structure: relaxed

abc: 5.133 6.096 8.465
angles: 66.89 70.94 63.00
Element x y z (fractional)
Ac: 0.000 0.500 0.500
Cd: 0.000 0.000 0.000
Hg: 0.253 0.837 0.645
Hg: 0.518 0.200 0.765
Hg: 0.253 0.393 0.108
Hg: 0.482 0.800 0.235
Hg: 0.747 0.163 0.355
Hg: 0.747 0.607 0.892

Energy of formation in eV per atom: -0.212
V in Å³ per atom: 26.68
Excess energy over the best structure of this formula in the dataset in eV/atom: 0.000



Compound: LaSc2InP
Source: Alexandria via LeMat-Bulk
Functional: GGA-PBE
Structure: relaxed

abc: 4.987 4.987 5.519
angles: 90.00 90.00 90.00
Element x y z (fractional)
Sc: 0.000 0.500 0.000
Sc: 0.500 0.000 0.000
P: 0.000 0.000 0.000
In: 0.500 0.500 0.500
La: 0.000 0.000 0.500

Energy of formation in eV per atom: -0.673
V in Å³ per atom: 27.45



Compound: Al2ZnPtW
Source: Alexandria via LeMat-Bulk
Functional: GGA-PBE
Structure: relaxed

abc: 4.787 4.787 4.777
angles: 90.00 90.00 90.00
Element x y z (fractional)
Zn: 0.000 0.000 0.500
W: 0.000 0.000 0.000
Pt: 0.500 0.500 0.500
Al: 0.000 0.500 0.000
Al: 0.500 0.000 0.000

Energy of formation in eV per atom: 1.203
V in Å³ per atom: 21.89



Compound: Pm12SmSn7
Source: Alexandria via LeMat-Bulk
Functional: GGA-PBE
Structure: relaxed

abc: 9.536 9.536 9.536
angles: 110.79 110.79 110.79
Element x y z (fractional)
Pm: 0.000 0.274 0.726
Pm: 0.726 0.274 0.000
Pm: 0.493 0.162 0.493
Pm: 0.838 0.507 0.507
Pm: 0.274 0.000 0.726
Pm: 0.507 0.507 0.838
Pm: 0.493 0.493 0.162
Pm: 0.726 0.000 0.274
Pm: 0.162 0.493 0.493
Pm: 0.507 0.838 0.507
Pm: 0.274 0.726 0.000
Pm: 0.000 0.726 0.274
Sm: 0.000 0.000 0.000
Sn: 0.863 0.552 0.863
Sn: 0.448 0.137 0.137
Sn: 0.137 0.137 0.448
Sn: 0.500 0.500 0.500
Sn: 0.863 0.863 0.552
Sn: 0.552 0.863 0.863
Sn: 0.137 0.448 0.137

Energy of formation in eV per atom: -0.442
V in Å³ per atom: 31.64



Compound: Fe5Re
Source: Alexandria via LeMat-Bulk
Functional: GGA-PBE
Structure: relaxed

abc: 4.617 4.617 4.617
angles: 60.00 60.00 60.00
Last column: magnetic moment on the atom in μB.
Element x y z (fractional)
Fe: 0.624 0.624 0.128  1.31
Fe: 0.250 0.250 0.250  2.33
Fe: 0.624 0.624 0.624  1.31
Fe: 0.128 0.624 0.624  1.31
Fe: 0.624 0.128 0.624  1.31
Re: 0.000 0.000 0.000  -0.66

Energy of formation in eV per atom: 0.099
V in Å³ per atom: 11.60
Excess energy over the best structure of this formula in the dataset in eV/atom: 0.079



Compound: GaCoSiIr
Source: Alexandria via LeMat-Bulk
Functional: GGA-PBE
Structure: relaxed

abc: 4.178 4.178 4.178
angles: 60.00 60.00 60.00
Last column: magnetic moment on the atom in μB.
Element x y z (fractional)
Si: 0.750 0.750 0.750  0.01
Ir: 0.000 0.000 0.000  0.24
Co: 0.500 0.500 0.500  0.93
Ga: 0.250 0.250 0.250  -0.01

V in Å³ per atom: 12.89
ΔE_f (raw) in eV/atom: -0.3405



Compound: Dy4Ga3Cu
Source: Alexandria via LeMat-Bulk
Functional: GGA-PBE
Structure: relaxed

abc: 4.057 4.217 10.952
angles: 90.00 90.00 90.00
Element x y z (fractional)
Dy: 0.500 0.500 0.351
Dy: 0.000 0.500 0.864
Dy: 0.000 0.000 0.141
Dy: 0.500 0.000 0.646
Ga: 0.000 0.500 0.575
Ga: 0.000 0.000 0.424
Ga: 0.500 0.000 0.926
Cu: 0.500 0.500 0.071

Energy of formation in eV per atom: -0.503
V in Å³ per atom: 23.42
Excess energy over the best structure of this formula in the dataset in eV/atom: 0.000



Compound: MgTiRuPt
Source: Alexandria via LeMat-Bulk
Functional: GGA-PBE
Structure: relaxed

abc: 4.401 4.401 4.401
angles: 60.00 60.00 60.00
Element x y z (fractional)
Ru: 0.750 0.750 0.750
Mg: 0.000 0.000 0.000
Pt: 0.250 0.250 0.250
Ti: 0.500 0.500 0.500

Energy of formation in eV per atom: -0.707
V in Å³ per atom: 15.07



Compound: Rb2Ac2UO6
Source: Alexandria via LeMat-Bulk
Functional: GGA-PBE
Structure: relaxed

abc: 6.538 6.538 7.076
angles: 97.23 97.23 119.67
Last column: magnetic moment on the atom in μB.
Element x y z (fractional)
Rb: 0.842 0.158 0.000  0.01
Rb: 0.158 0.842 0.000  0.01
Ac: 0.335 0.665 0.500  0.01
Ac: 0.665 0.335 0.500  0.01
U: 0.000 0.000 0.500  1.69
O: 0.760 0.760 0.665  -0.03
O: 0.035 0.348 0.658  -0.02
O: 0.240 0.240 0.335  -0.03
O: 0.348 0.035 0.658  -0.02
O: 0.965 0.652 0.342  -0.02
O: 0.652 0.965 0.342  -0.02

V in Å³ per atom: 23.13
ΔE_f (raw) in eV/atom: -2.7031



Compound: ErVIr
Source: Alexandria via LeMat-Bulk
Functional: GGA-PBE
Structure: relaxed

abc: 5.547 5.783 7.748
angles: 68.64 90.00 90.00
Element x y z (fractional)
Er: 0.885 0.811 0.877
Er: 0.385 0.689 0.623
Er: 0.115 0.189 0.123
Er: 0.615 0.311 0.377
Ir: 0.878 0.811 0.472
Ir: 0.378 0.689 0.028
Ir: 0.122 0.189 0.528
Ir: 0.622 0.311 0.972
V: 0.608 0.885 0.200
V: 0.108 0.615 0.300
V: 0.392 0.115 0.800
V: 0.892 0.385 0.700

Energy of formation in eV per atom: -0.487
V in Å³ per atom: 19.29



Compound: CsCd2Pd2
Source: Alexandria via LeMat-Bulk
Functional: GGA-PBE
Structure: relaxed

abc: 8.638 8.638 3.126
angles: 90.00 90.00 90.00
Element x y z (fractional)
Cs: 0.000 0.000 0.000
Cs: 0.500 0.500 0.000
Pd: 0.164 0.664 0.500
Pd: 0.664 0.836 0.500
Pd: 0.836 0.336 0.500
Pd: 0.336 0.164 0.500
Cd: 0.375 0.875 0.000
Cd: 0.875 0.625 0.000
Cd: 0.625 0.125 0.000
Cd: 0.125 0.375 0.000

Energy of formation in eV per atom: -0.058
V in Å³ per atom: 23.32
Excess energy over the best structure of this formula in the dataset in eV/atom: 0.042



Compound: NdHoSc
Source: Alexandria via LeMat-Bulk
Functional: GGA-PBE
Structure: relaxed

abc: 3.410 5.527 5.527
angles: 120.00 90.00 90.00
Element x y z (fractional)
Sc: 0.166 0.333 0.667
Nd: 0.667 0.667 0.333
Ho: 0.168 0.000 0.000

Energy of formation in eV per atom: 0.084
V in Å³ per atom: 30.08
Excess energy over the best structure of this formula in the dataset in eV/atom: 0.049



V of number 11 (CsCd2Pd2)?
23.32 Å³ per atom



V of number 12 (NdHoSc)?
30.08 Å³ per atom



Which of these has the lowest V?
Fe5Re



Which of these has the highest V?
Pm12SmSn7